Computed, not measured: a relaxed structure of Zr2TaMn at the PBE level of DFT.

a = 5.5816 Å, b = 5.5816 Å, c = 4.8565 Å
α = 64.21°, β = 64.21°, γ = 33.60°
Closest atoms and distances in Å follow each position.
Element x y z (fractional)
Mn (0.5105, 0.5105, 0.4893)  2 Ta 2.52, 2 Zr 2.74
Ta (0.2133, 0.2133, 0.2867)  2 Mn 2.52
Zr (0.9981, 0.9981, 0.0020)  4 Mn 2.92, 6 Zr 3.12-3.23, 4 Ta 3.15-3.18
Zr (0.7781, 0.7781, 0.7220)  2 Mn 2.74, 4 Ta 2.98

Results
excess energy over the best structure of this formula in the dataset: 42.8 meV/atom
formation enthalpy at 0 K: 28 meV per atom



Computed, not measured: a relaxed structure of BaLa2Ga6 at the PBE level of DFT.

a = 4.6327 Å, b = 7.5935 Å, c = 7.5938 Å
α = 120.00°, β = 90.01°, γ = 90.00°
Closest atoms and distances in Å follow each position.
Element x y z (fractional)
Ba (0.0000, 0.0000, 0.0000)  12 Ga 3.46
La (0.0000, 0.3333, 0.6666)  12 Ga 3.42
La (0.0000, 0.6667, 0.3334)  12 Ga 3.42
Ga (0.5005, 0.3382, 0.3382)  3 Ga 2.46-2.57
Ga (0.4995, 0.6618, 0.6618)  3 Ga 2.46-2.57
Ga (0.4995, 0.0000, 0.6618)  3 Ga 2.46-2.57
Ga (0.5000, 0.6618, 0.0000)  3 Ga 2.46-2.57
Ga (0.5000, 0.3382, 0.0000)  3 Ga 2.46-2.57
Ga (0.5005, 0.0000, 0.3382)  3 Ga 2.46-2.57

Results
formation enthalpy at 0 K: -589 meV per atom



Computed, not measured: a relaxed structure of YTm4Ga15 at the PBE level of DFT.

a = 4.2528 Å, b = 4.2528 Å, c = 21.1712 Å
α = 90.00°, β = 90.00°, γ = 90.00°
Closest atoms and distances in Å follow each position.
Element x y z (fractional)
Y (0.0000, 0.0000, 0.0000)  12 Ga 3.01-3.02
Tm (0.0000, 0.0000, 0.2011)  12 Ga 2.99-3.01
Tm (0.0000, 0.0000, 0.4003)  12 Ga 3.00-3.01
Tm (0.0000, 0.0000, 0.5997)  12 Ga 3.00-3.01
Tm (0.0000, 0.0000, 0.7989)  12 Ga 2.99-3.01
Ga (0.5000, 0.5000, 0.0000)  4 Y 3.01, 8 Ga 3.02
Ga (0.5000, 0.5000, 0.2005)  8 Ga 2.98-3.00, 4 Tm 3.01
Ga (0.5000, 0.5000, 0.4005)  8 Ga 2.99-3.00, 4 Tm 3.01
Ga (0.5000, 0.5000, 0.5995)  8 Ga 2.99-3.00, 4 Tm 3.01
Ga (0.5000, 0.5000, 0.7995)  8 Ga 2.98-3.00, 4 Tm 3.01
Ga (0.5000, 0.0000, 0.1016)  8 Ga 2.98-3.02, 2 Tm 2.99, 2 Y 3.02
Ga (0.5000, 0.0000, 0.3007)  4 Tm 2.99-3.00, 8 Ga 3.00-3.01
Ga (0.5000, 0.0000, 0.5000)  8 Ga 2.99-3.01, 4 Tm 3.00
Ga (0.5000, 0.0000, 0.6993)  4 Tm 2.99-3.00, 8 Ga 3.00-3.01
Ga (0.5000, 0.0000, 0.8984)  8 Ga 2.98-3.02, 2 Tm 2.99, 2 Y 3.02
Ga (0.0000, 0.5000, 0.1016)  8 Ga 2.98-3.02, 2 Tm 2.99, 2 Y 3.02
Ga (0.0000, 0.5000, 0.3007)  4 Tm 2.99-3.00, 8 Ga 3.00-3.01
Ga (0.0000, 0.5000, 0.5000)  8 Ga 2.99-3.01, 4 Tm 3.00
Ga (0.0000, 0.5000, 0.6993)  4 Tm 2.99-3.00, 8 Ga 3.00-3.01
Ga (0.0000, 0.5000, 0.8984)  8 Ga 2.98-3.02, 2 Tm 2.99, 2 Y 3.02

Results
formation enthalpy at 0 K: -522 meV per atom



Computed, not measured: a relaxed structure of NaHgTe4Pb2 at the PBE level of DFT.

a = 4.4565 Å, b = 7.8201 Å, c = 7.8174 Å
α = 70.67°, β = 90.00°, γ = 90.00°
Closest atoms and distances in Å follow each position.
Element x y z (fractional)
Na (0.0000, 0.5000, 0.5000)  6 Te 3.16-3.17
Hg (0.5000, 0.5000, 0.0000)  6 Te 3.11-3.14
Te (0.0000, 0.7391, 0.7584)  2 Hg 3.11, 1 Na 3.17, 3 Pb 3.21-3.24
Te (0.0000, 0.2609, 0.2416)  2 Hg 3.11, 1 Na 3.17, 3 Pb 3.21-3.24
Te (0.5000, 0.7438, 0.2487)  1 Hg 3.14, 2 Na 3.16, 3 Pb 3.19-3.24
Te (0.5000, 0.2562, 0.7513)  1 Hg 3.14, 2 Na 3.16, 3 Pb 3.19-3.24
Pb (0.0000, 0.0000, 0.0000)  6 Te 3.19-3.21
Pb (0.5000, 0.0000, 0.5000)  6 Te 3.24

Results
formation energy (no corrections): -2.6 eV/f.u.



Computed, not measured: a relaxed structure of NaTlHgBr6 at the PBE level of DFT.

a = 7.1751 Å, b = 7.1751 Å, c = 13.4164 Å
α = 90.00°, β = 90.00°, γ = 120.00°
Closest atoms and distances in Å follow each position.
Element x y z (fractional)
Na (0.0000, 0.0000, 0.0000)  6 Br 3.08
Na (0.0000, 0.0000, 0.5000)  6 Br 3.08
Tl (0.3333, 0.6667, 0.2500)  6 Br 2.81
Tl (0.6667, 0.3333, 0.7500)  6 Br 2.81
Hg (0.6667, 0.3333, 0.2500)  6 Br 2.85
Hg (0.3333, 0.6667, 0.7500)  6 Br 2.85
Br (0.6420, 0.6471, 0.1290)  1 Tl 2.81, 1 Hg 2.85, 1 Na 3.08
Br (0.0052, 0.3580, 0.1290)  1 Tl 2.81, 1 Hg 2.85, 1 Na 3.08
Br (0.3580, 0.0052, 0.6290)  1 Tl 2.81, 1 Hg 2.85, 1 Na 3.08
Br (0.9948, 0.6420, 0.8710)  1 Tl 2.81, 1 Hg 2.85, 1 Na 3.08
Br (0.3529, 0.3580, 0.3710)  1 Tl 2.81, 1 Hg 2.85, 1 Na 3.08
Br (0.0052, 0.6471, 0.3710)  1 Tl 2.81, 1 Hg 2.85, 1 Na 3.08
Br (0.6471, 0.0052, 0.8710)  1 Tl 2.81, 1 Hg 2.85, 1 Na 3.08
Br (0.6420, 0.9948, 0.3710)  1 Tl 2.81, 1 Hg 2.85, 1 Na 3.08
Br (0.9948, 0.3529, 0.6290)  1 Tl 2.81, 1 Hg 2.85, 1 Na 3.08
Br (0.3529, 0.9948, 0.1290)  1 Tl 2.81, 1 Hg 2.85, 1 Na 3.08
Br (0.6471, 0.6420, 0.6290)  1 Tl 2.81, 1 Hg 2.85, 1 Na 3.08
Br (0.3580, 0.3529, 0.8710)  1 Tl 2.81, 1 Hg 2.85, 1 Na 3.08

Results
formation energy (no corrections): -6.0 eV/f.u.



Computed, not measured: a relaxed structure of Cd2RuAu at the PBE level of DFT.

a = 5.0341 Å, b = 5.0341 Å, c = 2.9760 Å
α = 90.00°, β = 90.00°, γ = 106.96°
Closest atoms and distances in Å follow each position.
Element x y z (fractional)
Au (0.0000, 0.5000, 0.5000)  8 Cd 2.92, 2 Au 2.98, 2 Ru 3.00
Cd (0.0000, 0.0000, 0.0000)  4 Au 2.92, 4 Ru 2.92, 4 Cd 2.98-3.00
Cd (0.5000, 0.5000, 0.0000)  4 Ru 2.92, 4 Au 2.92, 4 Cd 2.98-3.00
Ru (0.5000, 0.0000, 0.5000)  8 Cd 2.92, 2 Ru 2.98, 2 Au 3.00

Results
excess energy over the best structure of this formula in the dataset: 47.5 meV/atom
formation enthalpy at 0 K: 157 meV per atom